(1)
14
Lattice="9.275 -1.749 0.000 9.275 1.749 0.000 -2.301 0.000 8.641" Properties=species:S:1:pos:R:3 comment="GGA-PBEsol NaTi5Se8, optimized geometry" dos_at_fermi_per_ev_cell=9.5 pbc="T T T"
Na 0.000 0.000 0.000
Ti 1.637 0.000 4.236
Ti 1.931 0.000 7.345
Ti 8.125 0.000 4.320
Ti 14.319 0.000 1.296
Ti 14.613 0.000 4.405
Se -0.195 0.000 5.883
Se 4.009 0.000 2.952
Se 4.040 0.000 8.627
Se 6.157 0.000 6.019
Se 10.093 0.000 2.622
Se 12.210 0.000 0.014
Se 12.241 0.000 5.688
Se 16.445 0.000 2.758

***

(2)
10
Lattice="4.650 0.000 0.000 0.000 4.650 0.000 0.000 0.000 12.207" Properties=species:S:1:pos:R:3 comment="GGA-PBEsol Na2TlSe2, optimized geometry" dos_at_fermi_per_ev_cell=4.2 pbc="T T T"
Na 0.000 2.325 3.052
Na 0.000 2.325 9.156
Na 2.325 0.000 3.052
Na 2.325 0.000 9.156
Tl 0.000 0.000 0.000
Tl 2.325 2.325 6.104
Se 0.000 0.000 4.718
Se 0.000 0.000 7.489
Se 2.325 2.325 1.386
Se 2.325 2.325 10.822

***

(3)
10
Lattice="5.517 0.000 0.000 0.000 5.517 0.000 0.000 0.000 9.449" Properties=species:S:1:pos:R:3 comment="GGA-PBEsol NaTl2Se2, optimized geometry" dos_at_fermi_per_ev_cell=1.4 pbc="T T T"
Na 0.000 0.000 0.000
Na 2.758 2.758 4.725
Tl 0.000 0.000 3.264
Tl 0.000 0.000 6.185
Tl 2.758 2.758 1.460
Tl 2.758 2.758 7.989
Se 0.000 2.758 2.362
Se 0.000 2.758 7.087
Se 2.758 0.000 2.362
Se 2.758 0.000 7.087

***

(4)
Here is NaTlSe2 after structural relaxation from Alexandria via LeMat-Bulk. Energies are from GGA-PBEsol.

The structure in extended XYZ format:
```
4
Lattice="4.652 0.000 0.000 -2.326 4.029 0.000 0.000 0.000 5.919" Properties=species:S:1:pos:R:3 pbc="T T T"
Na 0.000 0.000 0.000
Tl 0.000 2.686 2.959
Se 2.326 1.343 1.253
Se 2.326 1.343 4.666
```

***

(5)
7
Lattice="1.766 1.019 13.581 -1.766 1.019 13.581 0.000 -2.039 13.581" Properties=species:S:1:pos:R:3 comment="GGA-PBEsol NaV2Se4, optimized geometry" dos_at_fermi_per_ev_cell=6.7 pbc="T T T"
Na 0.000 0.000 0.000
V 0.000 0.000 17.223
V 0.000 0.000 37.093
Se 0.000 0.000 5.055
Se 0.000 0.000 8.519
Se 0.000 0.000 25.030
Se 0.000 0.000 29.289

***

(6)
7
Lattice="5.932 0.000 0.000 0.000 3.268 0.000 -2.898 0.000 7.407" Properties=species:S:1:pos:R:3 comment="GGA-PBEsol NaV2Se4, optimized geometry" dos_at_fermi_per_ev_cell=5.0 pbc="T T T"
Na 0.000 0.000 0.000
V 0.785 0.000 3.694
V 3.107 1.634 3.559
Se -0.591 1.634 2.334
Se -1.461 0.000 4.925
Se 2.432 0.000 1.882
Se 1.445 1.634 5.367

***

(7)
18
Lattice="5.919 0.000 0.000 -1.917 8.242 0.000 -1.007 -4.484 7.699" Properties=species:S:1:pos:R:3 comment="GGA-PBEsol Na3V5Se10, optimized geometry" dos_at_fermi_per_ev_cell=10.6 pbc="T T T"
Na 0.000 0.000 0.000
Na -0.394 1.403 3.022
Na 0.068 2.816 6.092
V 0.208 -2.004 4.447
V 1.257 4.107 0.114
V 1.018 5.541 3.038
V 2.784 -1.264 5.932
V 3.827 4.831 1.642
Se -0.935 -0.016 5.548
Se -0.918 4.097 3.697
Se 0.020 6.108 0.858
Se 0.992 -2.590 6.786
Se 2.004 -0.483 3.793
Se 2.007 3.334 2.275
Se 2.094 0.937 6.991
Se 2.083 4.978 5.216
Se 4.891 -1.286 2.396
Se 4.977 2.859 0.509

***

(8)
5
Lattice="4.627 0.000 0.000 0.000 4.627 0.000 0.000 0.000 4.627" Properties=species:S:1:pos:R:3 comment="GGA-PBEsol NaW3Se, optimized geometry" dos_at_fermi_per_ev_cell=6.9 pbc="T T T"
Na 0.000 0.000 0.000
W 0.000 2.313 2.313
W 2.313 0.000 2.313
W 2.313 2.313 0.000
Se 2.313 2.313 2.313

***

(9)
16
Lattice="7.255 0.000 0.000 0.000 7.255 0.000 0.000 0.000 8.847" Properties=species:S:1:pos:R:3 comment="GGA-PBEsol NaYSe2, optimized geometry" dos_at_fermi_per_ev_cell=0.0 pbc="T T T"
Na 0.000 0.000 0.000
Na 0.000 3.628 2.212
Na 3.628 0.000 6.635
Na 3.628 3.628 4.423
Y 0.000 0.000 4.423
Y 0.000 3.628 6.635
Y 3.628 0.000 2.212
Y 3.628 3.628 0.000
Se 1.685 1.814 5.529
Se 1.814 5.313 7.741
Se 1.814 5.571 3.318
Se 1.943 1.814 1.106
Se 5.313 5.442 1.106
Se 5.442 1.685 3.318
Se 5.442 1.943 7.741
Se 5.571 5.442 5.529

***

(10)
28
Lattice="7.249 0.000 0.000 0.000 7.249 0.000 0.000 0.000 12.015" Properties=species:S:1:pos:R:3 comment="GGA-PBEsol Na2Zn2Se3, optimized geometry" dos_at_fermi_per_ev_cell=0.0 pbc="T T T"
Na 0.453 2.499 3.655
Na 1.126 4.078 0.652
Na 2.499 0.453 8.360
Na 3.172 6.123 5.356
Na 4.078 1.126 11.364
Na 4.750 6.796 2.352
Na 6.123 3.172 6.659
Na 6.796 4.750 9.663
Zn 0.194 1.394 10.622
Zn 1.394 0.194 1.394
Zn 2.231 3.818 7.618
Zn 3.431 5.018 10.405
Zn 3.818 2.231 4.397
Zn 5.018 3.431 1.610
Zn 5.855 7.055 7.401
Zn 7.055 5.855 4.614
Se 0.603 5.634 6.949
Se 1.555 5.694 3.004
Se 1.615 6.646 11.074
Se 2.010 3.021 9.953
Se 2.070 2.070 6.008
Se 3.021 2.010 2.063
Se 4.228 5.240 8.070
Se 5.179 5.179 0.000
Se 5.240 4.228 3.945
Se 5.634 0.603 5.066
Se 5.694 1.555 9.011
Se 6.646 1.615 0.941

***

(11)
10
Lattice="4.290 0.000 0.000 0.000 4.290 0.000 0.000 0.000 12.735" Properties=species:S:1:pos:R:3 comment="GGA-PBEsol NaZn2Se2, optimized geometry" dos_at_fermi_per_ev_cell=2.7 pbc="T T T"
Na 0.000 0.000 0.000
Na 2.145 2.145 6.368
Zn 0.000 2.145 3.184
Zn 0.000 2.145 9.551
Zn 2.145 0.000 3.184
Zn 2.145 0.000 9.551
Se 0.000 0.000 4.568
Se 0.000 0.000 8.167
Se 2.145 2.145 1.800
Se 2.145 2.145 10.935

***

(12)
28
Lattice="7.601 -6.808 0.000 7.601 6.808 0.000 -3.155 0.000 6.190" Properties=species:S:1:pos:R:3 comment="GGA-PBEsol Na2Zn2Se3, optimized geometry" dos_at_fermi_per_ev_cell=0.0 pbc="T T T"
Na 5.235 5.896 4.643
Na 6.813 3.843 1.548
Na 4.813 1.150 2.208
Na 3.235 -1.150 5.303
Na 8.812 1.150 0.888
Na 7.235 -1.150 3.983
Na 5.235 -3.843 4.643
Na 6.813 -5.896 1.548
Zn 2.448 3.636 4.562
Zn 0.771 1.065 4.947
Zn 2.349 -1.065 1.851
Zn 8.022 3.636 4.724
Zn 4.025 -3.636 1.467
Zn 9.699 1.065 4.339
Zn 11.276 -1.065 1.244
Zn 9.600 -3.636 1.628
Se 2.106 1.004 0.449
Se 4.142 3.863 2.775
Se 0.529 -1.004 3.544
Se 2.973 1.629 5.821
Se 9.483 3.863 0.320
Se 7.497 1.629 3.465
Se 4.551 -1.629 2.726
Se 2.564 -3.863 5.871
Se 9.074 -1.629 0.370
Se 11.519 1.004 2.646
Se 7.906 -3.863 3.415
Se 9.941 -1.004 5.741

***

(13)
5
Lattice="5.000 0.000 0.000 0.000 5.000 0.000 0.000 0.000 5.000" Properties=species:S:1:pos:R:3 comment="GGA-PBEsol NaZn3Se, optimized geometry" dos_at_fermi_per_ev_cell=3.6 pbc="T T T"
Na 0.000 0.000 0.000
Zn 0.000 2.500 2.500
Zn 2.500 0.000 2.500
Zn 2.500 2.500 0.000
Se 2.500 2.500 2.500

***

(14)
18
Lattice="-3.033 5.101 6.666 3.033 -5.101 6.666 3.033 5.101 -6.666" Properties=species:S:1:pos:R:3 comment="GGA-PBEsol Na2Zn3Se4, optimized geometry" dos_at_fermi_per_ev_cell=0.0 pbc="T T T"
Na 1.463 1.276 0.000
Na 1.463 -1.276 6.666
Na 1.570 6.377 0.000
Na 1.570 3.824 6.666
Zn 3.033 2.862 -3.333
Zn 3.033 0.000 3.333
Zn 0.000 2.238 3.333
Zn 3.033 2.862 3.333
Zn 0.000 5.101 3.333
Zn 0.000 2.238 9.999
Se 1.629 -1.322 1.819
Se 1.404 3.778 -1.819
Se 4.437 1.322 1.819
Se 1.629 1.322 4.847
Se 1.404 3.778 1.819
Se -1.404 3.778 4.847
Se 1.629 1.322 8.486
Se 1.404 6.423 4.847

***

(15)
37
Lattice="5.174 2.987 8.462 -5.174 2.987 8.462 0.000 -5.974 8.462" Properties=species:S:1:pos:R:3 comment="GGA-PBEsol Na3Si34, optimized geometry" dos_at_fermi_per_ev_cell=6.4 pbc="T T T"
Na 0.000 0.000 0.000
Na 0.000 0.000 9.521
Na 0.000 0.000 15.864
Si -1.198 -3.032 7.370
Si -3.225 0.479 7.370
Si -3.227 -1.863 10.699
Si 0.000 0.000 3.184
Si -3.256 -1.880 14.528
Si 0.000 0.000 5.529
Si 0.000 -3.760 10.856
Si -3.256 1.880 10.856
Si 1.198 -3.032 7.370
Si -2.027 2.553 7.370
Si -2.027 -1.171 12.641
Si 0.000 -2.341 12.744
Si 0.000 -3.726 14.686
Si -2.027 1.171 12.744
Si -2.027 -2.553 18.015
Si -3.227 1.863 14.686
Si -3.225 -0.479 18.015
Si 3.225 0.479 7.370
Si 3.227 -1.863 10.699
Si 2.027 2.553 7.370
Si 2.027 -1.171 12.641
Si 0.000 3.726 10.699
Si 0.000 2.341 12.641
Si 2.027 1.171 12.744
Si 2.027 -2.553 18.015
Si -1.198 3.032 18.015
Si 3.256 -1.880 14.528
Si 0.000 3.760 14.528
Si 0.000 0.000 19.856
Si 3.256 1.880 10.856
Si 0.000 0.000 22.201
Si 3.227 1.863 14.686
Si 3.224 -0.479 18.015
Si 1.198 3.032 18.015

***

(16)
14
Lattice="2.080 -5.237 0.000 2.080 5.237 0.000 0.000 0.000 12.108" Properties=species:S:1:pos:R:3 comment="GGA-PBEsol NaSi6, optimized geometry" dos_at_fermi_per_ev_cell=3.1 pbc="T T T"
Na 2.080 2.939 9.081
Na 2.080 -2.939 3.027
Si 2.080 4.565 1.845
Si 2.080 4.565 4.209
Si 2.080 2.566 0.576
Si 2.080 2.566 5.478
Si 2.080 0.275 1.157
Si 2.080 0.275 4.896
Si 2.080 -0.275 7.211
Si 2.080 -0.275 10.950
Si 2.080 -2.566 6.630
Si 2.080 -2.566 11.532
Si 2.080 -4.565 7.899
Si 2.080 -4.565 10.263

***

(17)
35
Lattice="0.000 7.322 7.322 7.322 0.000 7.322 7.322 7.322 0.000" Properties=species:S:1:pos:R:3 comment="GGA-PBEsol NaSi34, optimized geometry" dos_at_fermi_per_ev_cell=6.8 pbc="T T T"
Na 0.000 0.000 0.000
Si 6.481 6.481 3.724
Si 8.164 8.164 3.724
Si 6.481 3.724 6.481
Si 10.921 8.164 6.481
Si 8.164 3.724 8.164
Si 10.921 6.481 8.164
Si 11.828 10.139 7.387
Si 11.828 7.387 10.139
Si 14.580 10.139 10.139
Si 5.973 5.973 5.973
Si 8.672 8.672 5.973
Si 8.672 5.973 8.672
Si 12.335 9.632 9.632
Si 7.322 7.322 7.322
Si 10.139 11.828 7.387
Si 10.139 7.387 11.828
Si 14.580 11.828 11.828
Si 3.724 6.481 6.481
Si 8.164 10.921 6.481
Si 8.164 6.481 10.921
Si 10.984 10.984 10.984
Si 5.973 8.672 8.672
Si 9.632 12.335 9.632
Si 9.632 9.632 12.335
Si 12.335 12.335 12.335
Si 3.724 8.164 8.164
Si 6.481 10.921 8.164
Si 6.481 8.164 10.921
Si 7.387 11.828 10.139
Si 10.139 14.580 10.139
Si 7.387 10.139 11.828
Si 11.828 14.580 11.828
Si 10.139 10.139 14.580
Si 11.828 11.828 14.580

***

The calculation returns the following final energy values, one per record and in order: -6.48 -3.15 -3.23 -3.46 -5.88 -5.97 -5.87 -7.53 -5.41 -3.31 -2.87 -3.34 -1.59 -3.29 -5.37 -5.12 -5.57 eV/atom.
The calculation returns the following ΔE_f (raw) values, one per record and in order: -16.9 -2.6 -1.8 -2.1 -5.1 -5.7 -14.8 9.0 -5.7 -5.6 -2.1 -5.9 2.0 -6.7 0.7 0.1 1.9 eV per formula unit.